Version P
VASP calculation (PBE-GGA) on a geometry-optimized CaY2Ir structure.

```
4
Lattice="-5.540 0.302 -3.576 -3.222 -5.375 -2.072 2.376 3.511 5.060" Properties=species:S:1:pos:R:3 pbc="T T T"
Y -0.550 -0.319 -0.355
Y -3.793 0.627 -0.684
Ca -3.882 -2.248 -2.503
Ir -2.542 -2.159 0.128
```

Version Q
VASP calculation (PBE-GGA) on a geometry-optimized CaY2Ir structure.

```
4
Lattice="-2.263 -3.339 -0.804 1.778 -3.706 -0.132 -1.722 -3.410 8.492" Properties=species:S:1:pos:R:3 pbc="T T T"
Ca -1.096 -5.223 3.736
Y -1.479 -3.245 7.117
Y -0.410 -2.518 1.089
Ir -0.326 -4.699 -0.608
```

version Q takes first place; second place is 0.074 eV/atom up.

Version P
VASP calculation (PBE-GGA) on a geometry-optimized Na2VIn2 structure.

```
10
Lattice="7.317 0.000 0.000 0.000 7.317 0.000 0.000 0.000 5.197" Properties=species:S:1:pos:R:3 pbc="T T T"
Na 1.247 4.905 2.599
Na 4.905 6.070 2.599
Na 6.070 2.412 2.599
Na 2.412 1.247 2.599
In 2.570 6.228 0.000
In 6.228 4.747 0.000
In 4.747 1.089 0.000
In 1.089 2.570 0.000
V 0.000 0.000 0.000
V 3.658 3.658 0.000
```

Version Q
VASP calculation (PBE-GGA) on a geometry-optimized Na2VIn2 structure.

```
5
Lattice="-3.558 -0.394 -1.546 1.459 -2.336 -2.761 -2.368 -7.672 2.485" Properties=species:S:1:pos:R:3 pbc="T T T"
Na -3.488 -4.715 -0.607
Na -0.979 -5.686 -1.214
In -1.292 -2.523 -1.302
In -3.175 -7.878 -0.520
V 0.000 0.000 0.000
```

version P takes first place; second place is 0.061 eV/atom up.

Version P
VASP calculation (PBE-GGA) on a geometry-optimized CuTc structure.

```
4
Lattice="-0.616 -0.391 4.358 1.261 -2.204 -0.019 4.084 2.329 0.786" Properties=species:S:1:pos:R:3 pbc="T T T"
Tc 1.315 0.740 1.372
Tc 2.152 1.198 3.771
Cu 3.998 0.809 1.758
Cu 0.731 -1.074 3.367
```

Version Q
VASP calculation (PBE-GGA) on a geometry-optimized CuTc structure.

```
4
Lattice="-3.454 -1.784 1.712 0.410 -3.208 2.753 -0.885 0.602 4.110" Properties=species:S:1:pos:R:3 pbc="T T T"
Cu 0.000 0.000 0.000
Cu -0.982 -1.098 2.144
Tc -1.965 -2.195 4.287
Tc -2.947 -3.293 6.431
```

version P takes first place; second place is 0.117 eV/atom up.

Version P
VASP calculation (PBE-GGA) on a geometry-optimized MgBe structure.

```
16
Lattice="7.489 0.000 0.000 0.000 7.489 0.000 0.000 0.000 7.489" Properties=species:S:1:pos:R:3 pbc="T T T"
Mg 2.147 2.147 2.147
Mg 2.147 5.342 5.342
Mg 5.342 2.147 5.342
Mg 5.342 5.342 2.147
Mg 5.892 5.892 5.892
Mg 5.892 1.597 1.597
Mg 1.597 5.892 1.597
Mg 1.597 1.597 5.892
Be 0.731 0.731 0.731
Be 0.731 6.757 6.757
Be 6.757 0.731 6.757
Be 6.757 6.757 0.731
Be 4.476 4.476 4.476
Be 4.476 3.013 3.013
Be 3.013 4.476 3.013
Be 3.013 3.013 4.476
```

Version Q
VASP calculation (PBE-GGA) on a geometry-optimized MgBe structure.

```
32
Lattice="7.851 0.000 0.000 0.000 13.239 0.000 0.000 0.000 4.735" Properties=species:S:1:pos:R:3 pbc="T T T"
Mg 2.594 0.000 0.000
Mg 5.257 0.000 0.000
Mg 7.220 9.930 1.184
Mg 4.557 9.930 1.184
Mg 2.594 6.620 2.368
Mg 5.257 6.620 2.368
Mg 7.220 3.310 3.551
Mg 4.557 3.310 3.551
Mg 6.519 0.000 2.368
Mg 1.331 0.000 2.368
Mg 3.294 9.930 3.551
Mg 0.631 9.930 3.551
Mg 6.519 6.620 0.000
Mg 1.331 6.620 0.000
Mg 3.294 3.310 1.184
Mg 0.631 3.310 1.184
Be 0.000 12.187 0.000
Be 0.000 1.052 0.000
Be 1.963 10.982 1.184
Be 1.963 8.878 1.184
Be 0.000 5.568 2.368
Be 0.000 7.672 2.368
Be 1.963 4.362 3.551
Be 1.963 2.258 3.551
Be 3.925 12.187 2.368
Be 3.925 1.052 2.368
Be 5.888 10.982 3.551
Be 5.888 8.878 3.551
Be 3.925 5.568 0.000
Be 3.925 7.672 0.000
Be 5.888 4.362 1.184
Be 5.888 2.258 1.184
```

version Q takes first place; second place is 0.302 eV/atom up.

Version P
VASP calculation (PBE-GGA) on a geometry-optimized ScIBr3 structure.

```
10
Lattice="-1.843 -3.233 -7.307 3.668 -5.475 1.497 -6.940 -3.692 3.501" Properties=species:S:1:pos:R:3 pbc="T T T"
I -3.374 -4.780 -1.586
I -1.740 -7.620 -0.723
Sc -1.592 -4.956 -6.597
Sc -3.522 -7.444 4.287
Br -6.520 -8.933 -1.436
Br 1.406 -3.468 -0.874
Br -4.686 -11.670 -0.688
Br -0.428 -0.731 -1.622
Br -1.705 -2.764 1.697
Br -3.409 -9.636 -4.006
```

Version Q
VASP calculation (PBE-GGA) on a geometry-optimized ScIBr3 structure.

```
10
Lattice="4.627 0.000 5.608 -2.313 4.007 5.608 -2.313 -4.007 5.608" Properties=species:S:1:pos:R:3 pbc="T T T"
I 0.000 0.000 3.668
I 0.000 0.000 12.080
Sc 0.000 0.000 0.744
Sc 0.000 0.000 9.156
Br -2.555 -0.006 9.643
Br -1.041 1.791 6.839
Br -1.031 -1.797 6.839
Br 2.072 0.006 6.839
Br 1.272 2.216 9.643
Br 1.283 -2.210 9.643
```

version P takes first place; second place is 0.216 eV/atom up.

Version P
VASP calculation (PBE-GGA) on a geometry-optimized SrTa2Tc structure.

```
4
Lattice="9.922 -0.037 -0.022 9.416 3.128 -0.022 9.416 1.505 2.742" Properties=species:S:1:pos:R:3 pbc="T T T"
Sr 21.566 3.446 2.024
Ta 28.208 4.508 2.647
Ta 14.924 2.385 1.400
Tc 7.189 1.149 0.675
```

Version Q
VASP calculation (PBE-GGA) on a geometry-optimized SrTa2Tc structure.

```
4
Lattice="3.339 0.000 0.000 0.000 3.833 0.000 0.000 0.000 7.328" Properties=species:S:1:pos:R:3 pbc="T T T"
Sr 1.670 1.916 5.430
Ta 0.000 0.000 0.624
Ta 1.670 1.916 1.913
Tc 0.000 0.000 3.024
```

version Q takes first place; second place is 0.181 eV/atom up.

Version P
VASP calculation (PBE-GGA) on a geometry-optimized VS2NCl structure.

```
5
Lattice="4.505 0.000 0.000 0.000 4.505 0.000 0.000 0.000 4.898" Properties=species:S:1:pos:R:3 pbc="T T T"
N 2.253 2.253 2.449
S 0.000 2.253 0.000
S 2.253 0.000 0.000
Cl 0.000 0.000 2.449
V 0.000 0.000 0.000
```

Version Q
VASP calculation (PBE-GGA) on a geometry-optimized VS2NCl structure.

```
5
Lattice="4.677 0.000 0.000 0.000 4.677 0.000 0.000 0.000 3.658" Properties=species:S:1:pos:R:3 pbc="T T T"
N 0.000 0.000 1.829
S 0.000 2.338 0.000
S 2.338 0.000 0.000
Cl 0.000 0.000 0.000
V 2.338 2.338 1.829
```

version P takes first place; second place is 0.779 eV/atom up.

Version P
VASP calculation (PBE-GGA) on a geometry-optimized Y2ZrIr2 structure.

```
5
Lattice="-0.453 3.512 -2.243 -4.411 3.190 1.970 1.215 4.686 3.175" Properties=species:S:1:pos:R:3 pbc="T T T"
Y -0.178 4.988 1.971
Y -3.471 6.400 0.932
Zr -2.432 3.351 -0.136
Ir -0.633 2.013 1.322
Ir -3.016 9.375 1.581
```

Version Q
VASP calculation (PBE-GGA) on a geometry-optimized Y2ZrIr2 structure.

```
5
Lattice="-1.561 3.236 -0.432 -2.716 -1.553 -1.818 -6.837 -0.352 6.913" Properties=species:S:1:pos:R:3 pbc="T T T"
Y -3.297 0.547 0.858
Y -7.816 0.784 3.805
Ir -5.268 1.863 2.678
Ir -5.846 -0.531 1.985
Zr 0.000 0.000 0.000
```

version P takes first place; second place is 0.783 eV/atom up.